# 1
The following is a DFT calculation (meta-GGA SCAN) of YScOs at its PBEsol-relaxed geometry. Values from VASP.

Values from the calculation:
Total magnetic moment: 0.0 μB per formula unit
SG: No. 156
Energy of formation: 27 kJ/mol of formula units

Quantum ESPRESSO input file:
```
&SYSTEM
  ibrav = 0, nat = 3, ntyp = 3
/
ATOMIC_SPECIES
Y 88.91 Y.upf
Sc 44.96 Sc.upf
Os 190.23 Os.upf
CELL_PARAMETERS angstrom
3.252 0.000 0.000
-1.626 2.816 0.000
0.000 0.000 7.033
ATOMIC_POSITIONS angstrom
Y 0.000 0.000 0.000
Sc 1.626 0.939 3.048
Os 0.000 1.878 4.913
```

# 2
The following is a DFT calculation (meta-GGA SCAN) of YSc2Os at its PBEsol-relaxed geometry. Values from VASP.

Values from the calculation:
Total magnetic moment: 0.0 μB per formula unit
SG: No. 123
Energy of formation: -133 kJ/mol of formula units

Quantum ESPRESSO input file:
```
&SYSTEM
  ibrav = 0, nat = 4, ntyp = 3
/
ATOMIC_SPECIES
Y 88.91 Y.upf
Sc 44.96 Sc.upf
Os 190.23 Os.upf
CELL_PARAMETERS angstrom
3.215 0.000 0.000
0.000 3.215 0.000
0.000 0.000 8.443
ATOMIC_POSITIONS angstrom
Y 0.000 0.000 0.000
Sc 1.607 1.607 2.701
Sc 1.607 1.607 5.741
Os 0.000 0.000 4.221
```

# 3
The following is a DFT calculation (meta-GGA SCAN) of YScOs2 at its PBEsol-relaxed geometry. Values from VASP.

Values from the calculation:
Total magnetic moment: 0.0 μB per formula unit
SG: No. 44
Energy of formation: -84 kJ/mol of formula units

Quantum ESPRESSO input file:
```
&SYSTEM
  ibrav = 0, nat = 4, ntyp = 3
/
ATOMIC_SPECIES
Y 88.91 Y.upf
Sc 44.96 Sc.upf
Os 190.23 Os.upf
CELL_PARAMETERS angstrom
-1.582 2.304 4.893
1.582 -2.304 4.893
1.582 2.304 -4.893
ATOMIC_POSITIONS angstrom
Y 0.000 0.000 0.000
Sc 0.000 2.304 2.213
Os 1.582 0.000 2.534
Os 0.000 0.000 4.653
```